No. 1
The following is a DFT calculation (PBE) of Na4Ho3MnSe8 after structural relaxation.

a b c (Å): 8.420 8.420 8.420
angles (deg): 57.55 57.55 57.55
Sites, in units of the cell vectors:
1 Na 0.000 0.000 0.000
2 Na 0.000 0.500 0.500
3 Na 0.500 0.000 0.500
4 Na 0.500 0.500 0.000
5 Ho 0.000 0.000 0.500
6 Ho 0.000 0.500 0.000
7 Ho 0.500 0.000 0.000
8 Mn 0.500 0.500 0.500
9 Se 0.244 0.244 0.244
10 Se 0.258 0.731 0.731
11 Se 0.269 0.269 0.742
12 Se 0.269 0.742 0.269
13 Se 0.731 0.258 0.731
14 Se 0.731 0.731 0.258
15 Se 0.742 0.269 0.269
16 Se 0.756 0.756 0.756

Crystal system ... trigonal
Formation energy from raw total energies ... -1.426 eV/atom
Calculated total energy ... -4.930 eV per atom
Space-group type ... R-3m (166)

No. 2
The following is a DFT calculation (PBE) of La2SiIr2 after structural relaxation.

a b c (Å): 7.092 7.092 4.351
angles (deg): 90.00 90.00 90.00
Sites, in units of the cell vectors:
1 La 0.177 0.323 0.000
2 La 0.323 0.823 0.000
3 La 0.677 0.177 0.000
4 La 0.823 0.677 0.000
5 Si 0.000 0.000 0.500
6 Si 0.500 0.500 0.500
7 Ir 0.139 0.639 0.500
8 Ir 0.361 0.139 0.500
9 Ir 0.639 0.861 0.500
10 Ir 0.861 0.361 0.500

Crystal system ... tetragonal
Formation energy from raw total energies ... -0.570 eV/atom
Calculated total energy ... -7.170 eV per atom
Space-group type ... P4/mbm (127)

No. 3
The following is a DFT calculation (PBE) of Ca2CoBr6 after structural relaxation.

a b c (Å): 7.709 7.709 11.799
angles (deg): 119.36 119.36 30.12
Sites, in units of the cell vectors:
1 Ca 0.190 0.190 0.306
2 Ca 0.810 0.810 0.694
3 Co 0.500 0.500 0.000
4 Br 0.155 0.155 0.533
5 Br 0.317 0.317 0.896
6 Br 0.486 0.486 0.791
7 Br 0.514 0.514 0.209
8 Br 0.683 0.683 0.104
9 Br 0.845 0.845 0.467

Crystal system ... monoclinic
Formation energy from raw total energies ... -1.352 eV/atom
Calculated total energy ... -3.701 eV per atom
Space-group type ... C2/m (12)

No. 4
The following is a DFT calculation (PBE) of PuCd11Ga after structural relaxation.

a b c (Å): 7.660 7.660 7.616
angles (deg): 98.52 98.52 134.34
Sites, in units of the cell vectors:
1 Pu 0.000 0.000 0.000
2 Cd 0.000 0.000 0.500
3 Cd 0.000 0.500 0.000
4 Cd 0.003 0.352 0.352
5 Cd 0.291 0.502 0.786
6 Cd 0.352 0.003 0.352
7 Cd 0.498 0.709 0.214
8 Cd 0.500 0.000 0.000
9 Cd 0.502 0.291 0.786
10 Cd 0.648 0.997 0.648
11 Cd 0.709 0.498 0.214
12 Cd 0.997 0.648 0.648
13 Ga 0.500 0.500 0.500

Crystal system ... monoclinic
DFT formation energy ... -0.013 eV per atom
Calculated total energy ... -2.122 eV per atom
Space-group type ... C2/m (12)

No. 5
The following is a DFT calculation (PBE) of Ca3LaFe after structural relaxation.

a b c (Å): 5.585 5.585 5.585
angles (deg): 90.00 90.00 90.00
Sites, in units of the cell vectors:
1 Ca 0.000 0.000 0.500
2 Ca 0.000 0.500 0.000
3 Ca 0.500 0.000 0.000
4 La 0.500 0.500 0.500
5 Fe 0.000 0.000 0.000

Crystal system ... cubic
DFT formation energy ... 0.413 eV per atom
Calculated total energy ... -3.466 eV per atom
Space-group type ... Pm-3m (221)

No. 6
The following is a DFT calculation (PBE) of Ba2CaSeO6 after structural relaxation.

a b c (Å): 5.874 5.874 5.874
angles (deg): 60.00 60.00 60.00
Sites, in units of the cell vectors:
1 Ba 0.250 0.250 0.250
2 Ba 0.750 0.750 0.750
3 Ca 0.000 0.000 0.000
4 Se 0.500 0.500 0.500
5 O 0.278 0.278 0.722
6 O 0.278 0.722 0.278
7 O 0.278 0.722 0.722
8 O 0.722 0.278 0.278
9 O 0.722 0.278 0.722
10 O 0.722 0.722 0.278

Crystal system ... cubic
Formation energy from raw total energies ... -2.132 eV/atom
Calculated total energy ... -6.040 eV per atom
Space-group type ... Fm-3m (225)

No. 7
The following is a DFT calculation (PBE) of Ac2PrTmSe6 after structural relaxation.

a b c (Å): 7.919 7.919 7.919
angles (deg): 57.60 57.60 57.60
Sites, in units of the cell vectors:
1 Ac 0.000 0.000 0.000
2 Ac 0.498 0.498 0.498
3 Pr 0.209 0.209 0.209
4 Tm 0.707 0.707 0.707
5 Se 0.068 0.832 0.432
6 Se 0.341 0.583 0.916
7 Se 0.432 0.068 0.832
8 Se 0.583 0.916 0.341
9 Se 0.832 0.432 0.068
10 Se 0.916 0.341 0.583

Crystal system ... trigonal
Formation energy from raw total energies ... -1.908 eV/atom
Calculated total energy ... -5.745 eV per atom
Space-group type ... R3 (146)

No. 8
The following is a DFT calculation (PBE) of CsZn2AsCl after structural relaxation.

a b c (Å): 4.829 4.829 11.255
angles (deg): 90.00 90.00 90.00
Sites, in units of the cell vectors:
1 Cs 0.000 0.000 0.000
2 Zn 0.000 0.500 0.500
3 Zn 0.500 0.000 0.500
4 As 0.500 0.500 0.500
5 Cl 0.500 0.500 0.000

Crystal system ... tetragonal
Formation energy from raw total energies ... -0.412 eV/atom
Calculated total energy ... -2.391 eV per atom
Space-group type ... P4/mmm (123)